Tl2Hg2O3: optimized geometry, GGA-PBE.

ΔE_f (raw) (eV per atom): -0.34
Total DFT energy (no corrections) (hartree per atom): -0.1186

Cell: 7.238 5.853 7.045 Å, 90.00 74.16 90.00°
Element x y z (fractional)
Tl: 0.855 0.708 0.841
Tl: 0.355 0.792 0.841
Tl: 0.645 0.208 0.159
Tl: 0.145 0.292 0.159
Hg: 0.560 0.273 0.665
Hg: 0.940 0.773 0.335
Hg: 0.060 0.227 0.665
Hg: 0.440 0.727 0.335
O: 0.500 0.500 0.000
O: 0.000 0.000 0.000
O: 0.801 0.062 0.650
O: 0.699 0.562 0.350
O: 0.301 0.438 0.650
O: 0.199 0.938 0.350



Tl8HgO4: optimized geometry, GGA-PBE.

ΔE_f (raw) (eV per atom): -0.52
Total DFT energy (no corrections) (hartree per atom): -0.1297

Cell: 7.221 7.221 9.666 Å, 100.96 100.60 119.95°
Element x y z (fractional)
Tl: 0.665 0.999 0.169
Tl: 0.170 0.503 0.169
Tl: 0.667 0.503 0.170
Tl: 0.168 0.001 0.169
Tl: 0.832 0.999 0.831
Tl: 0.333 0.497 0.830
Tl: 0.830 0.497 0.831
Tl: 0.335 0.001 0.831
Hg: 0.000 0.500 0.500
O: 0.247 0.247 0.000
O: 0.753 0.753 0.000
O: 0.246 0.748 0.994
O: 0.754 0.252 0.006



Tl6Hg2O: optimized geometry, GGA-PBE.

ΔE_f (raw) (eV per atom): -0.16
N(E_F) (states/eV per atom): 0.410
Total DFT energy (no corrections) (hartree per atom): -0.0864

Cell: 7.129 7.219 10.096 Å, 90.00 90.27 90.00°
Element x y z (fractional)
Tl: 0.051 0.993 0.250
Tl: 0.218 0.279 0.523
Tl: 0.219 0.281 0.976
Tl: 0.281 0.781 0.524
Tl: 0.282 0.779 0.977
Tl: 0.449 0.493 0.250
Tl: 0.949 0.007 0.750
Tl: 0.782 0.721 0.477
Tl: 0.781 0.719 0.024
Tl: 0.719 0.219 0.476
Tl: 0.718 0.221 0.023
Tl: 0.551 0.507 0.750
Hg: 0.010 0.531 0.750
Hg: 0.490 0.031 0.750
Hg: 0.510 0.969 0.250
Hg: 0.990 0.469 0.250
O: 0.500 0.500 0.000
O: 0.000 0.000 0.500



TlHgO: optimized geometry, GGA-PBE.

ΔE_f (raw) (eV per atom): -0.32
N(E_F) (states/eV per atom): 0.432
Total DFT energy (no corrections) (hartree per atom): -0.1050
Energy above the most stable polymorph in this dataset (meV per atom): 122

Cell: 3.740 4.535 8.018 Å, 90.00 103.49 90.00°
Element x y z (fractional)
Tl: 0.329 0.377 0.658
Tl: 0.671 0.877 0.342
Hg: 0.059 0.466 0.117
Hg: 0.941 0.966 0.883
O: 0.187 0.198 0.375
O: 0.813 0.698 0.625